# 1
## ZnAgP2Au (PBE-GGA)

Data for a geometry-optimized ZnAgP2Au structure.

The calculation puts the formation energy at 0.851 eV/atom. Its space group is P4/mmm, No. 123.

Lattice parameters (Å, degrees): 4.5373 4.9264 4.5373 90.00 90.00 90.00
Fractional positions:
P: 0.5000 0.0000 0.0000
Au: 0.5000 0.5000 0.5000
Ag: 0.0000 0.5000 0.0000
Zn: 0.0000 0.0000 0.0000
P: 0.0000 0.0000 0.5000


# 2
## PaAg2Au (PBE-GGA)

Data for a geometry-optimized PaAg2Au structure.

Its energy above the most stable polymorph in this dataset is 0.0 meV/atom. The calculation puts the formation energy at 0.083 eV/atom. Its space group is Fm-3m, No. 225.

Lattice parameters (Å, degrees): 4.8972 4.8972 4.8972 60.00 60.00 60.00
Site moments in Bohr magnetons follow the coordinates.
Fractional positions:
Ag: 0.2500 0.2500 0.2500  0.00
Pa: 0.0000 0.0000 0.0000  0.21
Ag: 0.7500 0.7500 0.7500  0.00
Au: 0.5000 0.5000 0.5000  0.00


# 3
## PaAg2Au (PBE-GGA)

Data for a geometry-optimized PaAg2Au structure.

Its energy above the most stable polymorph in this dataset is 155.6 meV/atom. The calculation puts the formation energy at 0.239 eV/atom. Its space group is R-3m, No. 166.

Lattice parameters (Å, degrees): 2.9629 2.9629 11.1055 82.33 82.33 60.00
Site moments in Bohr magnetons follow the coordinates.
Fractional positions:
Ag: 0.9072 0.9072 0.2784  0.00
Ag: 0.0928 0.0928 0.7216  0.00
Au: 0.5000 0.5000 0.5000  -0.01
Pa: 0.0000 0.0000 0.0000  0.46


# 4
## PaAg2Au8 (PBE-GGA)

Data for a geometry-optimized PaAg2Au8 structure.

The calculation puts the formation energy at -0.038 eV/atom. Its space group is C2/m, No. 12.

Lattice parameters (Å, degrees): 4.5983 7.1891 7.1891 106.27 83.43 83.43
Site moments in Bohr magnetons follow the coordinates.
Fractional positions:
Pa: 0.5000 0.0000 0.0000  0.51
Ag: 0.0000 0.3801 0.6199  0.00
Au: 0.9706 0.3094 0.0286  0.01
Au: 0.5202 0.3354 0.3354  0.01
Au: 0.5000 0.7468 0.2532  0.01
Au: 0.0294 0.9714 0.6906  0.01
Ag: 0.0000 0.6199 0.3801  0.00
Au: 0.4798 0.6646 0.6646  0.01
Au: 0.0294 0.6906 0.9714  0.01
Au: 0.9706 0.0286 0.3094  0.01
Au: 0.5000 0.2532 0.7468  0.01


# 5
## Pa2AgAu6 (PBE-GGA)

Data for a geometry-optimized Pa2AgAu6 structure.

The calculation puts the formation energy at -0.248 eV/atom. Its space group is C2/m, No. 12.

Lattice parameters (Å, degrees): 3.0468 8.3536 8.3536 60.02 89.92 89.92
Fractional positions:
Pa: 0.0000 0.6667 0.6667
Au: 0.5000 0.6701 0.3299
Au: 0.4986 0.6702 0.0000
Pa: 0.0000 0.3333 0.3333
Au: 0.5014 0.3298 0.0000
Ag: 0.0000 0.0000 0.0000
Au: 0.5000 0.3299 0.6701
Au: 0.4986 0.0000 0.6702
Au: 0.5014 0.0000 0.3298


# 6
## PaAg2Au6 (PBE-GGA)

Data for a geometry-optimized PaAg2Au6 structure.

The calculation puts the formation energy at -0.122 eV/atom. Its space group is C2/c, No. 15.

Lattice parameters (Å, degrees): 5.0632 8.6047 8.6047 74.64 81.64 81.64
Fractional positions:
Pa: 0.2500 0.1417 0.8583
Au: 0.6385 0.1004 0.3608
Au: 0.4638 0.6718 0.4387
Au: 0.3615 0.8996 0.6392
Au: 0.8076 0.9904 0.7730
Au: 0.0362 0.5613 0.3282
Au: 0.1385 0.3608 0.1004
Au: 0.5362 0.3282 0.5613
Au: 0.8615 0.6392 0.8996
Ag: 0.9137 0.7942 0.5338
Ag: 0.0863 0.2058 0.4662
Ag: 0.4137 0.5338 0.7942
Au: 0.6924 0.2270 0.0096
Au: 0.3076 0.7730 0.9904
Ag: 0.5863 0.4662 0.2058
Pa: 0.7500 0.8583 0.1417
Au: 0.1924 0.0096 0.2270
Au: 0.9638 0.4387 0.6718


# 7
## PaAgAu4 (PBE-GGA)

Data for a geometry-optimized PaAgAu4 structure.

The calculation puts the formation energy at -0.167 eV/atom. Its space group is F-43m, No. 216.

Lattice parameters (Å, degrees): 5.5508 5.5508 5.5508 60.00 60.00 60.00
Site moments in Bohr magnetons follow the coordinates.
Fractional positions:
Au: 0.6245 0.6245 0.1265  -0.02
Pa: 0.0000 0.0000 0.0000  0.63
Au: 0.1265 0.6245 0.6245  -0.02
Au: 0.6245 0.1265 0.6245  -0.02
Au: 0.6245 0.6245 0.6245  -0.02
Ag: 0.2500 0.2500 0.2500  -0.01


# 8
## PaAgPbAu (PBE-GGA)

Data for a geometry-optimized PaAgPbAu structure.

The calculation puts the formation energy at -0.058 eV/atom. Its space group is F-43m, No. 216.

Lattice parameters (Å, degrees): 5.0654 5.0654 5.0654 60.00 60.00 60.00
Site moments in Bohr magnetons follow the coordinates.
Fractional positions:
Pa: 0.0000 0.0000 0.0000  0.43
Pb: 0.5000 0.5000 0.5000  0.00
Au: 0.2500 0.2500 0.2500  0.00
Ag: 0.7500 0.7500 0.7500  0.01


# 9
## PaAgPtAu (PBE-GGA)

Data for a geometry-optimized PaAgPtAu structure.

The calculation puts the formation energy at -0.476 eV/atom. Its space group is F-43m, No. 216.

Lattice parameters (Å, degrees): 4.8520 4.8520 4.8520 60.00 60.00 60.00
Fractional positions:
Ag: 0.5000 0.5000 0.5000
Pt: 0.7500 0.7500 0.7500
Pa: 0.0000 0.0000 0.0000
Au: 0.2500 0.2500 0.2500


# 10
## ScPaAgAu (PBE-GGA)

Data for a geometry-optimized ScPaAgAu structure.

The calculation puts the formation energy at -0.143 eV/atom. Its space group is F-43m, No. 216.

Lattice parameters (Å, degrees): 5.0072 5.0072 5.0072 60.00 60.00 60.00
Site moments in Bohr magnetons follow the coordinates.
Fractional positions:
Pa: 0.2500 0.2500 0.2500  0.45
Sc: 0.7500 0.7500 0.7500  0.10
Au: 0.5000 0.5000 0.5000  -0.01
Ag: 0.0000 0.0000 0.0000  -0.01


# 11
## PaAgSnAu (PBE-GGA)

Data for a geometry-optimized PaAgSnAu structure.

The calculation puts the formation energy at -0.195 eV/atom. Its space group is F-43m, No. 216.

Lattice parameters (Å, degrees): 4.9985 4.9985 4.9985 60.00 60.00 60.00
Site moments in Bohr magnetons follow the coordinates.
Fractional positions:
Ag: 0.5000 0.5000 0.5000  0.00
Sn: 0.2500 0.2500 0.2500  0.00
Au: 0.0000 0.0000 0.0000  0.00
Pa: 0.7500 0.7500 0.7500  0.27


# 12
## ThPaAgAu (PBE-GGA)

Data for a geometry-optimized ThPaAgAu structure.

The calculation puts the formation energy at -0.058 eV/atom. Its space group is F-43m, No. 216.

Lattice parameters (Å, degrees): 5.1956 5.1956 5.1956 60.00 60.00 60.00
Site moments in Bohr magnetons follow the coordinates.
Fractional positions:
Pa: 0.5000 0.5000 0.5000  0.99
Au: 0.7500 0.7500 0.7500  0.02
Th: 0.0000 0.0000 0.0000  0.27
Ag: 0.2500 0.2500 0.2500  0.01


Question: What is the formula in the eleventh record?
Answer: PaAgSnAu